# 1
Computed, not measured: an optimized crystal structure of Si2Hg at the PBE level of DFT.

Results
Uncorrected formation energy (eV/atom): 0.756
Crystal system: hexagonal
Magnetization (Bohr magnetons per cell): 0.000
SG: P6_3/mmc, No. 194
D(E_F) (states/eV per cell): 4.2

abc: 4.702 4.702 5.998
angles: 90.00 90.00 120.00
Fractional coordinates of all 6 atoms:
Hg (0.667, 0.333, 0.750)
Hg (0.333, 0.667, 0.250)
Si (0.333, 0.667, 0.750)
Si (0.000, 0.000, 0.500)
Si (0.667, 0.333, 0.250)
Si (0.000, 0.000, 0.000)

# 2
Computed, not measured: an optimized crystal structure of SiHg3 at the PBE level of DFT.

Results
Uncorrected formation energy (eV/atom): 0.343
Crystal system: trigonal
Magnetization (Bohr magnetons per cell): 0.000
SG: R-3m, No. 166
D(E_F) (states/eV per cell): 1.1

abc: 12.223 12.223 12.223
angles: 14.05 14.05 14.05
Fractional coordinates of all 4 atoms:
Hg (0.256, 0.256, 0.256)
Hg (0.500, 0.500, 0.500)
Hg (0.744, 0.744, 0.744)
Si (0.000, 0.000, 0.000)

# 3
Computed, not measured: an optimized crystal structure of SiHg2 at the PBE level of DFT.

Results
Uncorrected formation energy (eV/atom): 0.465
Crystal system: tetragonal
Magnetization (Bohr magnetons per cell): 0.000
SG: I4/mmm, No. 139
D(E_F) (states/eV per cell): 0.8

abc: 7.069 7.069 7.069
angles: 154.53 154.53 36.33
Fractional coordinates of all 3 atoms:
Si (0.000, 0.000, 0.000)
Hg (0.656, 0.656, 0.000)
Hg (0.344, 0.344, 0.000)

# 4
Computed, not measured: an optimized crystal structure of SiHg2 at the PBE level of DFT.

Results
Uncorrected formation energy (eV/atom): 0.437
Crystal system: tetragonal
Magnetization (Bohr magnetons per cell): 0.000
SG: P4/nmm, No. 129
D(E_F) (states/eV per cell): 1.4

abc: 4.525 4.525 6.872
angles: 90.00 90.00 90.00
Fractional coordinates of all 6 atoms:
Hg (0.500, 0.500, 0.000)
Hg (0.000, 0.000, 0.000)
Hg (0.500, 0.000, 0.370)
Hg (0.000, 0.500, 0.630)
Si (0.000, 0.500, 0.243)
Si (0.500, 0.000, 0.757)

# 5
Computed, not measured: an optimized crystal structure of Si2Hg at the PBE level of DFT.

Results
Uncorrected formation energy (eV/atom): 0.538
Crystal system: trigonal
Magnetization (Bohr magnetons per cell): 0.000
SG: P-31m, No. 162
D(E_F) (states/eV per cell): 3.8

abc: 6.889 6.889 5.894
angles: 90.00 90.00 120.00
Fractional coordinates of all 9 atoms:
Hg (0.000, 0.000, 0.000)
Hg (0.667, 0.333, 0.500)
Hg (0.333, 0.667, 0.500)
Si (0.754, 0.000, 0.648)
Si (0.246, 0.246, 0.648)
Si (0.000, 0.246, 0.352)
Si (0.000, 0.754, 0.648)
Si (0.246, 0.000, 0.352)
Si (0.754, 0.754, 0.352)

# 6
Computed, not measured: an optimized crystal structure of Si2Hg at the PBE level of DFT.

Results
Uncorrected formation energy (eV/atom): 0.343
Crystal system: hexagonal
Magnetization (Bohr magnetons per cell): 0.000
SG: P6_3/mmc, No. 194
D(E_F) (states/eV per cell): 2.7

abc: 3.851 3.851 9.605
angles: 90.00 90.00 120.00
Fractional coordinates of all 6 atoms:
Hg (0.000, 0.000, 0.250)
Hg (0.000, 0.000, 0.750)
Si (0.333, 0.667, 0.955)
Si (0.667, 0.333, 0.045)
Si (0.333, 0.667, 0.545)
Si (0.667, 0.333, 0.455)

no.,calculated volume (A^3/atom)
1,19.137
2,23.420
3,21.752
4,23.455
5,26.918
6,20.557